[1]
# BaScOs3 (PBEsol, relaxed)
data_BaScOs3
_space_group_name_H-M_alt 'P 1'
_space_group_IT_number 1
_cell_length_a 4.8119
_cell_length_b 4.8119
_cell_length_c 4.8119
_cell_angle_alpha 90.00
_cell_angle_beta 90.00
_cell_angle_gamma 90.00
loop_
_space_group_symop_operation_xyz
'x,y,z'
loop_
_atom_site_label
_atom_site_type_symbol
_atom_site_fract_x
_atom_site_fract_y
_atom_site_fract_z
_atom_site_occupancy
Ba1 Ba 0.0000 0.0000 0.0000 1
Sc1 Sc 0.5000 0.5000 0.5000 1
Os1 Os 0.0000 0.5000 0.5000 1
Os2 Os 0.5000 0.0000 0.5000 1
Os3 Os 0.5000 0.5000 0.0000 1
# Symmetry: Pm-3m (221)
# Total magnetization: 0.32 μB/atom
# Formation energy: 1.8549 eV/atom
# Total energy: -7.23 eV per atom

[2]
# YCdAg (PBEsol, relaxed)
data_YCdAg
_space_group_name_H-M_alt 'P 1'
_space_group_IT_number 1
_cell_length_a 5.5625
_cell_length_b 5.5625
_cell_length_c 5.5625
_cell_angle_alpha 141.86
_cell_angle_beta 141.86
_cell_angle_gamma 55.04
loop_
_space_group_symop_operation_xyz
'x,y,z'
loop_
_atom_site_label
_atom_site_type_symbol
_atom_site_fract_x
_atom_site_fract_y
_atom_site_fract_z
_atom_site_occupancy
Y1 Y 0.0000 0.0000 0.0000 1
Cd1 Cd 0.6821 0.6821 0.0000 1
Ag1 Ag 0.3245 0.3245 0.0000 1
# Symmetry: I4mm (107)
# Total magnetization: 0.00 μB/atom
# Formation energy: -0.2834 eV/atom
# Total energy: -4.06 eV per atom

Among the records above, which one has the lowest total energy? BaScOs3